The following is a DFT calculation (GGA-PBE) of an optimized crystal structure of CsTlSeO4.

Its energy relative to the elements, uncorrected is -1.103 eV per atom.

Unit cell a=6.681 b=6.681 c=9.179 alpha=90.00 beta=90.00 gamma=90.00
Sites, in units of the cell vectors:
1 Cs 0.000 0.000 0.000
2 Cs 0.500 0.500 0.500
3 Tl 0.000 0.000 0.500
4 Tl 0.500 0.500 0.000
5 Se 0.000 0.500 0.250
6 Se 0.500 0.000 0.750
7 O 0.125 0.666 0.354
8 O 0.166 0.375 0.146
9 O 0.334 0.125 0.646
10 O 0.375 0.834 0.854
11 O 0.625 0.166 0.854
12 O 0.666 0.875 0.646
13 O 0.834 0.625 0.146
14 O 0.875 0.334 0.354


The following is a DFT calculation (GGA-PBE) of an optimized crystal structure of RbLa2PuO6.

Its energy relative to the elements, uncorrected is -2.924 eV per atom.

Unit cell a=6.546 b=6.546 c=6.546 alpha=56.82 beta=56.82 gamma=56.82
Sites, in units of the cell vectors:
1 Rb 0.000 0.000 0.000
2 La 0.254 0.254 0.254
3 La 0.772 0.772 0.772
4 Pu 0.461 0.461 0.461
5 O 0.092 0.593 0.441
6 O 0.207 0.522 0.837
7 O 0.441 0.092 0.593
8 O 0.522 0.837 0.207
9 O 0.593 0.441 0.092
10 O 0.837 0.207 0.522


The following is a DFT calculation (GGA-PBE) of an optimized crystal structure of KBa2Ce3Se8.

Its energy relative to the elements, uncorrected is -1.721 eV per atom.

Unit cell a=9.250 b=9.250 c=9.250 alpha=57.40 beta=57.40 gamma=57.40
Sites, in units of the cell vectors:
1 K 0.000 0.000 0.000
2 Ba 0.253 0.253 0.253
3 Ba 0.629 0.629 0.629
4 Ce 0.123 0.629 0.629
5 Ce 0.629 0.123 0.629
6 Ce 0.629 0.629 0.123
7 Se 0.380 0.380 0.827
8 Se 0.380 0.827 0.380
9 Se 0.395 0.395 0.395
10 Se 0.428 0.879 0.879
11 Se 0.827 0.380 0.380
12 Se 0.859 0.859 0.859
13 Se 0.879 0.428 0.879
14 Se 0.879 0.879 0.428


The following is a DFT calculation (GGA-PBE) of an optimized crystal structure of ThCd2Hg6.

The calculated formation energy comes out at -92 meV/atom.

Unit cell a=5.151 b=5.151 c=9.801 alpha=90.05 beta=90.05 gamma=60.01
Sites, in units of the cell vectors:
1 Th 0.000 0.000 0.000
2 Cd 0.334 0.334 0.194
3 Cd 0.666 0.666 0.806
4 Hg 0.000 0.000 0.334
5 Hg 0.000 0.000 0.666
6 Hg 0.333 0.333 0.534
7 Hg 0.333 0.333 0.860
8 Hg 0.667 0.667 0.140
9 Hg 0.667 0.667 0.466


Number 3 is which compound?
KBa2Ce3Se8